Ni2IrOs: optimized geometry, GGA-PBE.

Cell: 8.578 8.578 8.578 Å, 17.85 17.85 17.85°
Positions (direct):
Ni1 0.501 0.501 0.501
Ni2 0.999 0.999 0.999
Ir1 0.750 0.750 0.750
Os1 0.250 0.250 0.250

As for the total energy: -7.797 eV per atom. Its density of states at the Fermi level is 7.4 states/eV per cell. The calculation puts the magnetic moment at 1.0 μB per formula unit. As for the symmetry: R-3m (166). As for the volume: 52 Å³/cell.

TmTlO3: optimized geometry, GGA-PBE.

Cell: 3.056 5.892 5.890 Å, 59.98 89.98 90.02°
Positions (direct):
O1 0.720 0.776 0.224
O2 0.720 0.261 0.224
O3 0.720 0.262 0.738
Tm1 0.220 0.099 0.062
Tl1 0.220 0.433 0.395

The value obtained for the raw formation energy is -9.57 eV/f.u. The calculation puts the magnetic moment at 0.0 μB per formula unit. As for the symmetry: P-6m2 (187). As for the volume: 92 Å³/cell.